No. 1
## DyZnSnRu (PBE)

Data for DyZnSnRu after structural relaxation.

## Properties
M_tot ... 0.0 μB/cell
Energy ... -80.72 eV/cell
Energy relative to the elements ... -1.0 eV per formula unit
D(E_F) ... 3.023 states/eV/f.u.

Unit cell a=6.7146 b=6.7146 c=6.7146 alpha=90.00 beta=90.00 gamma=90.00
Last column: nearest neighbours and their distance in Å.
Space group F-43m (No. 216)
Asymmetric unit:
Dy (0.0000, 0.0000, 0.0000) [4 per cell]  4 Sn 2.91, 4 Zn 2.91
Zn (0.2500, 0.2500, 0.7500) [4 per cell]  4 Dy 2.91, 4 Ru 2.91
Sn (0.2500, 0.2500, 0.2500) [4 per cell]  4 Dy 2.91, 4 Ru 2.91
Ru (0.0000, 0.0000, 0.5000) [4 per cell]  4 Sn 2.91, 4 Zn 2.91

No. 2
## CaTa2GaTc (PBE)

Data for CaTa2GaTc after structural relaxation.

## Properties
M_tot ... 0.0 μB/cell
Energy ... -31.57 eV/cell
Energy relative to the elements ... 7.5 eV per formula unit
D(E_F) ... 6.472 states/eV/f.u.

Unit cell a=4.7657 b=4.7657 c=4.9916 alpha=90.00 beta=90.00 gamma=90.00
Last column: nearest neighbours and their distance in Å.
Space group P4/mmm (No. 123)
Asymmetric unit:
Ca (0.0000, 0.0000, 0.0000) [1 per cell]  2 Ga 2.50
Ta (0.0000, 0.5000, 0.5000) [2 per cell]  2 Ga 2.38
Ga (0.0000, 0.0000, 0.5000) [1 per cell]  4 Ta 2.38, 2 Ca 2.50
Tc (0.5000, 0.5000, 0.0000) [1 per cell]  4 Ca 3.37, 8 Ta 3.45